The following is a GGA-PBEsol calculation of a relaxed Ta5Mo crystal, from Alexandria.

a = 2.8296 Å, b = 4.5810 Å, c = 7.9547 Å
α = 90.00°, β = 90.27°, γ = 90.00°
Element x y z (fractional)
Ta 0.0000 0.0000 0.0000
Ta 0.3093 0.0000 0.3373
Ta 0.3262 0.5000 0.8295
Ta 0.6738 0.5000 0.1705
Ta 0.6907 0.0000 0.6627
Mo 0.0000 0.5000 0.5000

Computed properties:
SG	P2/m, No. 10
magnetic moment	0.0	μB/cell
electronic total energy	-12.46	eV/atom
volume	103.1	Å³/f.u.
calculated density	16.1	g/cm3
excess energy over the best structure of this formula in the dataset	23	meV per atom